1.
Computed, not measured: ZnCoSO after structural relaxation at the GGA+U level of DFT.

Unit cell a=6.0582 b=7.0645 c=5.8390 alpha=90.00 beta=90.00 gamma=90.00
Closest atoms and distances in Å follow each position.
Element x y z (fractional)
Co: 0.1268 0.0512 0.4997  3 O 1.96-2.01
Co: 0.6268 0.9488 0.4997  3 O 1.96-2.01
Co: 0.3732 0.0512 0.9997  3 O 1.96-2.01
Co: 0.8732 0.9488 0.9997  3 O 1.96-2.01
O: 0.6400 0.0697 0.1973  3 Co 1.96-2.01, 1 Zn 2.05
O: 0.1400 0.9303 0.1973  3 Co 1.96-2.01, 1 Zn 2.05
O: 0.8600 0.0697 0.6973  3 Co 1.96-2.01, 1 Zn 2.05
O: 0.3600 0.9303 0.6973  3 Co 1.96-2.01, 1 Zn 2.05
S: 0.0373 0.3606 0.3583  3 Zn 2.35-2.38, 1 Co 2.40
S: 0.5373 0.6394 0.3583  3 Zn 2.35-2.38, 1 Co 2.40
S: 0.4627 0.3606 0.8583  3 Zn 2.35-2.38, 1 Co 2.40
S: 0.9627 0.6394 0.8583  3 Zn 2.35-2.38, 1 Co 2.40
Zn: 0.6833 0.3574 0.1947  1 O 2.05
Zn: 0.1833 0.6426 0.1947  1 O 2.05
Zn: 0.8167 0.3574 0.6947  1 O 2.05
Zn: 0.3167 0.6426 0.6947  1 O 2.05

Summary:
E above lowest polymorph   101.2 meV/atom
Volume   250 Å³ per cell

***

2.
Computed, not measured: ZnCoSO after structural relaxation at the GGA+U level of DFT.

Unit cell a=6.0098 b=6.0098 c=5.7533 alpha=90.00 beta=90.00 gamma=31.51
Closest atoms and distances in Å follow each position.
Element x y z (fractional)
Co: 0.9182 0.9182 0.2500  4 O 2.37, 2 S 2.38
Co: 0.0818 0.0818 0.7500  4 O 2.37, 2 S 2.38
O: 0.5000 0.5000 0.0000  2 Zn 2.05
O: 0.5000 0.5000 0.5000  2 Zn 2.05
S: 0.2685 0.2685 0.2500  2 Zn 2.31, 2 Co 2.38
S: 0.7315 0.7315 0.7500  2 Zn 2.31, 2 Co 2.38
Zn: 0.6267 0.6267 0.2500  2 O 2.05
Zn: 0.3733 0.3733 0.7500  2 O 2.05

Summary:
E above lowest polymorph   426.0 meV/atom
Volume   109 Å³ per cell

***

3.
Computed, not measured: ZnCoSO after structural relaxation at the GGA+U level of DFT.

Unit cell a=3.6534 b=3.6534 c=8.9555 alpha=90.00 beta=90.00 gamma=90.00
Closest atoms and distances in Å follow each position.
Element x y z (fractional)
Co: 0.7500 0.7500 0.1262  5 S 2.44-2.59
Co: 0.2500 0.2500 0.8738  5 S 2.44-2.59
O: 0.7500 0.2500 0.5000  4 Zn 1.98
O: 0.2500 0.7500 0.5000  4 Zn 1.98
S: 0.2500 0.2500 0.1467  1 Zn 2.40, 5 Co 2.44-2.59
S: 0.7500 0.7500 0.8533  1 Zn 2.40, 5 Co 2.44-2.59
Zn: 0.2500 0.2500 0.4144  4 O 1.98
Zn: 0.7500 0.7500 0.5856  4 O 1.98

Summary:
E above lowest polymorph   356.2 meV/atom
Volume   120 Å³ per cell

***

4.
Computed, not measured: ZnCoSO after structural relaxation at the GGA+U level of DFT.

Unit cell a=6.5770 b=6.5924 c=10.6068 alpha=90.00 beta=90.00 gamma=90.00
Closest atoms and distances in Å follow each position.
Element x y z (fractional)
Co: 0.6755 0.4560 0.2258  3 O 2.06-2.19
Co: 0.8245 0.9560 0.2258  3 O 2.06-2.19
Co: 0.1755 0.4560 0.2742  3 O 2.06-2.19
Co: 0.3245 0.9560 0.2742  3 O 2.06-2.19
Co: 0.6755 0.0440 0.7258  3 O 2.06-2.19
Co: 0.8245 0.5440 0.7258  3 O 2.06-2.19
Co: 0.1755 0.0440 0.7742  3 O 2.06-2.19
Co: 0.3245 0.5440 0.7742  3 O 2.06-2.19
O: 0.9266 0.2706 0.2421  1 Zn 2.00, 3 Co 2.06-2.19
O: 0.5734 0.7706 0.2421  1 Zn 2.00, 3 Co 2.06-2.19
O: 0.4266 0.2706 0.2579  1 Zn 2.00, 3 Co 2.06-2.19
O: 0.0734 0.7706 0.2579  1 Zn 2.00, 3 Co 2.06-2.19
O: 0.9266 0.2294 0.7421  1 Zn 2.00, 3 Co 2.06-2.19
O: 0.5734 0.7294 0.7421  1 Zn 2.00, 3 Co 2.06-2.19
O: 0.4266 0.2294 0.7579  1 Zn 2.00, 3 Co 2.06-2.19
O: 0.0734 0.7294 0.7579  1 Zn 2.00, 3 Co 2.06-2.19
S: 0.2466 0.0283 0.0060  4 Zn 2.28-2.55, 1 Co 2.51
S: 0.2534 0.5283 0.0060  4 Zn 2.28-2.55, 1 Co 2.51
S: 0.7466 0.0283 0.4940  4 Zn 2.28-2.55, 1 Co 2.51
S: 0.7534 0.5283 0.4940  4 Zn 2.28-2.55, 1 Co 2.51
S: 0.2466 0.4717 0.5060  4 Zn 2.28-2.55, 1 Co 2.51
S: 0.2534 0.9717 0.5060  4 Zn 2.28-2.55, 1 Co 2.51
S: 0.7466 0.4717 0.9940  4 Zn 2.28-2.55, 1 Co 2.51
S: 0.7534 0.9717 0.9940  4 Zn 2.28-2.55, 1 Co 2.51
Zn: 0.9974 0.2533 0.0586  1 O 2.00
Zn: 0.5026 0.7533 0.0586  1 O 2.00
Zn: 0.4974 0.2533 0.4414  1 O 2.00
Zn: 0.0026 0.7533 0.4414  1 O 2.00
Zn: 0.9974 0.2467 0.5586  1 O 2.00
Zn: 0.5026 0.7467 0.5586  1 O 2.00
Zn: 0.4974 0.2467 0.9414  1 O 2.00
Zn: 0.0026 0.7467 0.9414  1 O 2.00

Summary:
E above lowest polymorph   230.5 meV/atom
Volume   460 Å³ per cell

***

5.
Computed, not measured: ZnCoSO after structural relaxation at the GGA+U level of DFT.

Unit cell a=5.6009 b=6.6676 c=6.7874 alpha=90.00 beta=90.00 gamma=90.00
Closest atoms and distances in Å follow each position.
Element x y z (fractional)
Co: 0.2621 0.6176 0.1734  1 O 1.88
Co: 0.7379 0.1176 0.3266  1 O 1.88
Co: 0.2379 0.3824 0.6734  1 O 1.88
Co: 0.7621 0.8824 0.8266  1 O 1.88
O: 0.5364 0.1921 0.1174  1 Co 1.88, 2 Zn 1.90-1.95
O: 0.4636 0.6921 0.3826  1 Co 1.88, 2 Zn 1.90-1.95
O: 0.9636 0.8079 0.6174  1 Co 1.88, 2 Zn 1.90-1.95
O: 0.0364 0.3079 0.8826  1 Co 1.88, 2 Zn 1.90-1.95
S: 0.9710 0.8784 0.1266  3 Co 2.35-2.47, 2 Zn 2.35-2.49
S: 0.0291 0.3784 0.3734  3 Co 2.35-2.47, 2 Zn 2.35-2.49
S: 0.5291 0.1216 0.6266  3 Co 2.35-2.47, 2 Zn 2.35-2.49
S: 0.4709 0.6216 0.8734  3 Co 2.35-2.47, 2 Zn 2.35-2.49
Zn: 0.1983 0.1735 0.1009  2 O 1.90-1.95
Zn: 0.8017 0.6735 0.3991  2 O 1.90-1.95
Zn: 0.3017 0.8265 0.6009  2 O 1.90-1.95
Zn: 0.6983 0.3265 0.8991  2 O 1.90-1.95

Summary:
E above lowest polymorph   99.8 meV/atom
Volume   253 Å³ per cell

***

6.
Computed, not measured: ZnCoSO after structural relaxation at the GGA+U level of DFT.

Unit cell a=6.3092 b=12.2068 c=6.2657 alpha=90.00 beta=90.00 gamma=90.00
Closest atoms and distances in Å follow each position.
Element x y z (fractional)
Co: 0.7583 0.0505 0.0582  1 O 2.00
Co: 0.7417 0.5504 0.0582  1 O 2.00
Co: 0.2583 0.0505 0.4418  1 O 2.00
Co: 0.2417 0.5504 0.4418  1 O 2.00
Co: 0.7583 0.4495 0.5582  1 O 2.00
Co: 0.7417 0.9495 0.5582  1 O 2.00
Co: 0.2583 0.4495 0.9418  1 O 2.00
Co: 0.2417 0.9495 0.9418  1 O 2.00
O: 0.7292 0.2109 0.1169  1 Co 2.00, 3 Zn 2.02-2.07
O: 0.7708 0.7109 0.1169  1 Co 2.00, 3 Zn 2.02-2.07
O: 0.2292 0.2109 0.3831  1 Co 2.00, 3 Zn 2.02-2.07
O: 0.2708 0.7109 0.3831  1 Co 2.00, 3 Zn 2.02-2.07
O: 0.7292 0.2891 0.6169  1 Co 2.00, 3 Zn 2.02-2.07
O: 0.7708 0.7891 0.6169  1 Co 2.00, 3 Zn 2.02-2.07
O: 0.2292 0.2891 0.8831  1 Co 2.00, 3 Zn 2.02-2.07
O: 0.2708 0.7891 0.8831  1 Co 2.00, 3 Zn 2.02-2.07
S: 0.4880 0.4496 0.2475  4 Co 2.33-2.59, 1 Zn 2.39
S: 0.0120 0.9496 0.2475  4 Co 2.33-2.59, 1 Zn 2.39
S: 0.9880 0.4496 0.2525  4 Co 2.33-2.59, 1 Zn 2.39
S: 0.5120 0.9496 0.2525  4 Co 2.33-2.59, 1 Zn 2.39
S: 0.4880 0.0504 0.7475  4 Co 2.33-2.59, 1 Zn 2.39
S: 0.0120 0.5504 0.7475  4 Co 2.33-2.59, 1 Zn 2.39
S: 0.9880 0.0504 0.7525  4 Co 2.33-2.59, 1 Zn 2.39
S: 0.5120 0.5504 0.7525  4 Co 2.33-2.59, 1 Zn 2.39
Zn: 0.0372 0.2630 0.1453  3 O 2.02-2.07
Zn: 0.4628 0.7630 0.1453  3 O 2.02-2.07
Zn: 0.5372 0.2630 0.3547  3 O 2.02-2.07
Zn: 0.9628 0.7630 0.3547  3 O 2.02-2.07
Zn: 0.0372 0.2370 0.6453  3 O 2.02-2.07
Zn: 0.4628 0.7370 0.6453  3 O 2.02-2.07
Zn: 0.5372 0.2370 0.8547  3 O 2.02-2.07
Zn: 0.9628 0.7370 0.8547  3 O 2.02-2.07

Summary:
E above lowest polymorph   128.4 meV/atom
Volume   483 Å³ per cell

***

7.
Computed, not measured: ZnCoSO after structural relaxation at the GGA+U level of DFT.

Unit cell a=6.0260 b=6.9986 c=5.7151 alpha=90.00 beta=90.00 gamma=90.00
Closest atoms and distances in Å follow each position.
Element x y z (fractional)
Co: 0.6955 0.3609 0.3003  1 O 2.00
Co: 0.1955 0.6391 0.3003  1 O 2.00
Co: 0.8045 0.3609 0.8003  1 O 2.00
Co: 0.3045 0.6391 0.8003  1 O 2.00
O: 0.6329 0.0817 0.3359  3 Zn 1.99-2.00, 1 Co 2.00
O: 0.1329 0.9183 0.3359  3 Zn 1.99-2.00, 1 Co 2.00
O: 0.8671 0.0817 0.8359  3 Zn 1.99-2.00, 1 Co 2.00
O: 0.3671 0.9183 0.8359  3 Zn 1.99-2.00, 1 Co 2.00
S: 0.0520 0.3593 0.4717  3 Co 2.35-2.40, 1 Zn 2.40
S: 0.5520 0.6407 0.4717  3 Co 2.35-2.40, 1 Zn 2.40
S: 0.4480 0.3593 0.9717  3 Co 2.35-2.40, 1 Zn 2.40
S: 0.9480 0.6407 0.9717  3 Co 2.35-2.40, 1 Zn 2.40
Zn: 0.3574 0.0554 0.1420  3 O 1.99-2.00
Zn: 0.8574 0.9446 0.1420  3 O 1.99-2.00
Zn: 0.1426 0.0554 0.6420  3 O 1.99-2.00
Zn: 0.6426 0.9446 0.6420  3 O 1.99-2.00

Summary:
E above lowest polymorph   116.1 meV/atom
Volume   241 Å³ per cell

***

8.
Computed, not measured: ZnCoSO after structural relaxation at the GGA+U level of DFT.

Unit cell a=5.6126 b=3.3816 c=12.4692 alpha=90.00 beta=90.00 gamma=90.00
Closest atoms and distances in Å follow each position.
Element x y z (fractional)
Co: 0.6357 0.2500 0.1831  2 O 1.95-1.98
Co: 0.1357 0.2500 0.3169  2 O 1.95-1.98
Co: 0.8643 0.7500 0.6831  2 O 1.95-1.98
Co: 0.3643 0.7500 0.8169  2 O 1.95-1.98
O: 0.2833 0.2500 0.1754  2 Co 1.95-1.98, 2 Zn 2.06
O: 0.7833 0.2500 0.3246  2 Co 1.95-1.98, 2 Zn 2.06
O: 0.2167 0.7500 0.6754  2 Co 1.95-1.98, 2 Zn 2.06
O: 0.7167 0.7500 0.8247  2 Co 1.95-1.98, 2 Zn 2.06
S: 0.7733 0.7500 0.0731  2 Co 2.31, 1 Zn 2.36
S: 0.2733 0.7500 0.4269  2 Co 2.31, 1 Zn 2.36
S: 0.7267 0.2500 0.5731  2 Co 2.31, 1 Zn 2.36
S: 0.2267 0.2500 0.9269  2 Co 2.31, 1 Zn 2.36
Zn: 0.1917 0.7500 0.0912  2 O 2.06
Zn: 0.6917 0.7500 0.4088  2 O 2.06
Zn: 0.3083 0.2500 0.5912  2 O 2.06
Zn: 0.8083 0.2500 0.9088  2 O 2.06

Summary:
E above lowest polymorph   71.6 meV/atom
Volume   237 Å³ per cell

***

Q: The highest E above lowest polymorph belongs to which entry?
A: number 2